No. 1
! RbCd, relaxed, DFT PBE-GGA; values from VASP
&SYSTEM
  ibrav = 0, nat = 4, ntyp = 2
/
ATOMIC_SPECIES
Rb 85.47 Rb.upf
Cd 112.41 Cd.upf
CELL_PARAMETERS angstrom
5.400 0.000 -0.013
0.000 5.307 0.000
-2.678 0.000 6.681
ATOMIC_POSITIONS angstrom
Rb 0.016 3.980 4.685
Rb 2.707 1.327 1.982
Cd 2.722 1.327 5.991
Cd 0.000 3.980 0.677
! **D(E_F)**: 2.48 states/eV/cell
! **Formation energy from the elements**: -45 meV per atom


No. 2
! ErThCdHg, relaxed, DFT PBE-GGA; values from VASP
&SYSTEM
  ibrav = 0, nat = 4, ntyp = 4
/
ATOMIC_SPECIES
Er 167.26 Er.upf
Th 232.04 Th.upf
Hg 200.59 Hg.upf
Cd 112.41 Cd.upf
CELL_PARAMETERS angstrom
-0.414 -4.436 -2.963
-1.562 -4.591 2.261
-4.823 -2.029 -1.120
ATOMIC_POSITIONS angstrom
Er 0.000 0.000 0.000
Th -3.399 -5.528 -0.911
Hg -1.700 -2.764 -0.455
Cd -5.099 -8.292 -1.366
! **D(E_F)**: 5.22 states/eV/cell
! **Formation energy from the elements**: -226 meV per atom


No. 3
! NaGaF5, relaxed, DFT PBE-GGA; values from VASP
&SYSTEM
  ibrav = 0, nat = 14, ntyp = 3
/
ATOMIC_SPECIES
F 19.00 F.upf
Na 22.99 Na.upf
Ga 69.72 Ga.upf
CELL_PARAMETERS angstrom
-4.521 2.330 1.008
-3.521 -1.933 -3.279
-3.521 -5.169 4.319
ATOMIC_POSITIONS angstrom
F -6.398 -1.041 1.519
F -3.856 0.777 0.305
F -7.986 -2.930 0.209
F -6.418 0.473 -1.128
F -7.707 -5.550 1.743
F -5.165 -3.733 0.529
F -7.078 -1.908 3.885
F -3.577 -1.844 1.839
F -5.146 -5.246 3.176
F -4.486 -2.865 -1.836
Na -6.688 -3.567 2.216
Na -4.875 -1.206 -0.168
Ga -1.760 -2.585 2.160
Ga 0.000 0.000 0.000
! **E_form (uncorrected)**: -2242 meV/atom


No. 4
! NaPm3Ru, relaxed, DFT PBE-GGA; values from VASP
&SYSTEM
  ibrav = 0, nat = 5, ntyp = 3
/
ATOMIC_SPECIES
Ru 101.07 Ru.upf
Pm 145.00 Pm.upf
Na 22.99 Na.upf
CELL_PARAMETERS angstrom
-0.424 1.757 5.247
3.382 -4.082 1.640
4.379 3.324 -0.758
ATOMIC_POSITIONS angstrom
Ru 0.000 0.000 0.000
Pm -0.212 0.878 2.624
Pm 2.190 1.662 -0.379
Pm 1.691 -2.041 0.820
Na 3.669 0.499 3.064
! **D(E_F)**: 4.92 states/eV/cell
! **Formation energy from the elements**: 4 meV per atom


Repeat the second record exactly.
! ErThCdHg, relaxed, DFT PBE-GGA; values from VASP
&SYSTEM
  ibrav = 0, nat = 4, ntyp = 4
/
ATOMIC_SPECIES
Er 167.26 Er.upf
Th 232.04 Th.upf
Hg 200.59 Hg.upf
Cd 112.41 Cd.upf
CELL_PARAMETERS angstrom
-0.414 -4.436 -2.963
-1.562 -4.591 2.261
-4.823 -2.029 -1.120
ATOMIC_POSITIONS angstrom
Er 0.000 0.000 0.000
Th -3.399 -5.528 -0.911
Hg -1.700 -2.764 -0.455
Cd -5.099 -8.292 -1.366
! **D(E_F)**: 5.22 states/eV/cell
! **Formation energy from the elements**: -226 meV per atom